Density functional theory data (PBE-GGA) for a relaxed NdYTi crystal.

Results
Size of the total moment in μB per cell: 0.00
Raw total energy in Ha/atom: -0.2308
Mass density in g/cm3: 5.5
Calculated formation energy in meV per atom: 95

```
NdYTi
1.0
3.589 0.000 0.000
0.000 3.589 0.000
0.000 0.000 13.132
Nd Y Ti
2 2 2
Direct
0.250 0.250 0.099
0.750 0.750 0.901
0.250 0.250 0.693
0.750 0.750 0.307
0.250 0.250 0.458
0.750 0.750 0.542
```


Density functional theory data (PBE-GGA) for a relaxed ScRe2Ag crystal.

Results
Size of the total moment in μB per cell: 0.00
Raw total energy in Ha/atom: -0.3000
Offset from the most stable computed form in meV per atom: 316
Mass density in g/cm3: 13.0
Calculated formation energy in meV per atom: 357

```
ScRe2Ag
1.0
3.838 0.000 0.000
0.000 3.838 0.000
0.000 0.000 9.125
Sc Re Ag
2 4 2
Direct
0.000 0.000 0.000
0.500 0.500 0.500
0.000 0.500 0.250
0.000 0.500 0.750
0.500 0.000 0.250
0.500 0.000 0.750
0.000 0.000 0.500
0.500 0.500 0.000
```


Density functional theory data (PBE-GGA) for a relaxed Li2AsAu crystal.

Results
Size of the total moment in μB per cell: 0.00
Raw total energy in Ha/atom: -0.1186
Mass density in g/cm3: 6.7
Calculated formation energy in meV per atom: -290

```
Li2AsAu
1.0
7.276 0.000 0.000
0.000 7.276 0.000
0.000 0.000 5.319
Li As Au
8 4 4
Direct
0.246 0.250 0.125
0.250 0.746 0.375
0.250 0.754 0.875
0.254 0.250 0.625
0.746 0.750 0.625
0.750 0.246 0.875
0.750 0.254 0.375
0.754 0.750 0.125
0.000 0.000 0.000
0.000 0.500 0.250
0.500 0.000 0.750
0.500 0.500 0.500
0.000 0.000 0.500
0.000 0.500 0.750
0.500 0.000 0.250
0.500 0.500 0.000
```


Density functional theory data (PBE-GGA) for a relaxed Ta6VSn crystal.

Results
Size of the total moment in μB per cell: 0.00
Raw total energy in Ha/atom: -0.3863
Mass density in g/cm3: 14.4
Calculated formation energy in meV per atom: 17

```
Ta6VSn
1.0
3.383 -6.540 0.000
3.383 6.540 0.000
0.000 0.000 13.052
Ta V Sn
24 4 4
Direct
0.000 0.000 0.000
0.000 0.000 0.500
0.130 0.393 0.380
0.130 0.393 0.620
0.146 0.383 0.130
0.146 0.383 0.870
0.246 0.754 0.250
0.246 0.754 0.750
0.383 0.146 0.130
0.383 0.146 0.870
0.393 0.130 0.380
0.393 0.130 0.620
0.500 0.500 0.000
0.500 0.500 0.500
0.607 0.870 0.380
0.607 0.870 0.620
0.617 0.854 0.130
0.617 0.854 0.870
0.754 0.246 0.250
0.754 0.246 0.750
0.854 0.617 0.130
0.854 0.617 0.870
0.870 0.607 0.380
0.870 0.607 0.620
0.246 0.754 0.500
0.500 0.500 0.255
0.500 0.500 0.745
0.754 0.246 0.500
0.000 0.000 0.260
0.000 0.000 0.740
0.240 0.760 0.000
0.760 0.240 0.000
```


Density functional theory data (PBE-GGA) for a relaxed TmBe2Ni6 crystal.

Results
Size of the total moment in μB per cell: 0.00
Raw total energy in Ha/atom: -0.1836
Mass density in g/cm3: 7.3
Calculated formation energy in meV per atom: 184

```
TmBe2Ni6
1.0
0.000 4.961 4.961
4.961 0.000 4.961
4.961 4.961 0.000
Tm Be Ni
2 4 12
Direct
0.125 0.125 0.125
0.875 0.875 0.875
0.000 0.500 0.500
0.500 0.000 0.500
0.500 0.500 0.000
0.500 0.500 0.500
0.139 0.139 0.611
0.139 0.611 0.139
0.139 0.611 0.611
0.389 0.389 0.861
0.389 0.861 0.389
0.389 0.861 0.861
0.611 0.139 0.139
0.611 0.139 0.611
0.611 0.611 0.139
0.861 0.389 0.389
0.861 0.389 0.861
0.861 0.861 0.389
```


Density functional theory data (PBE-GGA) for a relaxed Ag2TeAu crystal.

Results
Formation energy without anion corrections in eV/atom: 0.066
Size of the total moment in μB per cell: 0.00
Raw total energy in Ha/atom: -0.1089
Mass density in g/cm3: 10.8

```
Ag2TeAu
1.0
3.118 0.000 0.000
0.000 4.100 0.000
0.000 0.000 6.527
Ag Te Au
2 1 1
Direct
0.000 0.000 0.220
0.000 0.000 0.780
0.500 0.500 0.500
0.500 0.500 0.000
```


Density functional theory data (PBE-GGA) for a relaxed InSi2Te crystal.

Results
Formation energy without anion corrections in eV/atom: 0.337
Size of the total moment in μB per cell: 0.00
Raw total energy in Ha/atom: -0.1413
Offset from the most stable computed form in meV per atom: 158
Mass density in g/cm3: 4.8

```
InSi2Te
1.0
10.089 0.000 0.000
0.000 3.683 0.000
-4.552 0.000 5.602
In Si Te
2 4 2
Direct
0.000 0.000 0.000
0.500 0.500 0.000
0.224 0.000 0.862
0.276 0.500 0.138
0.724 0.500 0.862
0.776 0.000 0.138
0.000 0.500 0.500
0.500 0.000 0.500
```


Density functional theory data (PBE-GGA) for a relaxed TbYN crystal.

Results
Formation energy without anion corrections in eV/atom: -0.335
Size of the total moment in μB per cell: 0.00
Raw total energy in Ha/atom: -0.2502
Offset from the most stable computed form in meV per atom: 696
Mass density in g/cm3: 8.0

```
TbYN
1.0
6.023 0.000 0.000
0.000 6.023 0.000
0.000 0.000 6.023
Tb Y N
4 4 4
Direct
0.000 0.000 0.000
0.000 0.500 0.500
0.500 0.000 0.500
0.500 0.500 0.000
0.000 0.000 0.500
0.000 0.500 0.000
0.500 0.000 0.000
0.500 0.500 0.500
0.250 0.250 0.750
0.250 0.750 0.250
0.750 0.250 0.250
0.750 0.750 0.750
```


> Which formula does entry 8 have?

TbYN


> The lowest mass density belongs to which entry?

InSi2Te


> Number 6 is which compound?

Ag2TeAu


> Look up the size of the total moment of the fifth one.

0.00 μB per cell